Entry one
First-principles (PBE-GGA) data for Sr2CuI after structural relaxation, as listed in Alexandria via LeMat-Bulk.

Fermi-level density of states: 1.573 states/eV/f.u.

Structure (POSCAR):
```
Sr2CuI
1.0
-4.1035 -1.0993 1.3818
-3.0441 -1.4174 -2.9464
0.1548 -8.7946 0.6842
I Sr Cu
1 2 1
Direct
0.4982 0.4982 0.5054
0.0670 0.0670 0.7991
0.2669 0.2669 0.1993
0.6679 0.6679 0.9962
```


Entry two
First-principles (PBE-GGA) data for Sr2CuI after structural relaxation, as listed in Alexandria via LeMat-Bulk.

Fermi-level density of states: 6.071 states/eV/f.u.

Structure (POSCAR):
```
Sr2CuI
1.0
0.0000 4.0691 4.0691
4.0691 0.0000 4.0691
4.0691 4.0691 0.0000
I Sr Cu
1 2 1
Direct
0.5000 0.5000 0.5000
0.7500 0.7500 0.7500
0.2500 0.2500 0.2500
0.0000 0.0000 0.0000
```


Relative energy of each structure, in meV/atom: entry one 0; entry two 288.


Entry one
First-principles (PBE-GGA) data for SrCuTe2I after structural relaxation, as listed in Alexandria via LeMat-Bulk.

Fermi-level density of states: 2.667 states/eV/f.u.

Structure (POSCAR):
```
SrCuTe2I
1.0
5.1035 0.0000 0.0000
0.0000 5.1035 0.0000
0.0000 0.0000 6.2644
Sr I Te Cu
1 1 2 1
Direct
0.5000 0.5000 0.5000
0.0000 0.0000 0.5000
0.0000 0.5000 0.0000
0.5000 0.0000 0.0000
0.0000 0.0000 0.0000
```


Entry two
First-principles (PBE-GGA) data for SrCuTe2I after structural relaxation, as listed in Alexandria via LeMat-Bulk.

Fermi-level density of states: 5.039 states/eV/f.u.

Structure (POSCAR):
```
SrCuTe2I
1.0
-1.2738 6.2356 -0.1578
-5.7300 -1.1061 2.5443
2.4180 0.6387 5.7233
Te Sr I Cu
2 1 1 1
Direct
0.0000 0.5000 0.0000
0.5000 0.0000 0.0000
0.0000 0.0000 0.0000
0.0000 0.0000 0.5000
0.5000 0.5000 0.5000
```


Relative energy of each structure, in meV/atom: entry one 0; entry two 861.